LiPuGa | GGA-PBE | optimized geometry

Geometry as extended XYZ:
```
6
Lattice="-1.534 -2.798 2.269 2.353 -2.419 1.985 0.235 2.946 7.171" Properties=species:S:1:pos:R:3 pbc="T T T"
Li 0.802 -3.068 6.894
Ga 0.521 -0.297 6.743
Li 0.253 0.796 4.531
Ga 0.534 -1.975 4.682
Pu 0.271 -1.451 1.772
Pu 0.784 -0.821 9.654
```

Results
- ΔE_f (meV/atom) = -10
- symmetry = R-3m, No. 166
- energy relative to the lowest polymorph listed for this composition (meV/atom) = 179.5